1.
Compound: PrGdMo
Source: OQMD
Functional: PBE
Structure: relaxed

Results
**Volume**: 29.0 Å³/atom
**Calculated total energy**: -5.5266 eV per atom
**E_form**: 1.23 eV per atom

Unit cell a=7.032 b=7.032 c=7.032 alpha=90.00 beta=90.00 gamma=90.00
Space group F-43m (No. 216)
Symmetry-distinct sites (fractional):
Pr1 0.000 0.000 0.000
Gd1 0.250 0.250 0.750
Mo1 0.000 0.000 0.500

=====

2.
Compound: GdPuMo
Source: OQMD
Functional: PBE
Structure: relaxed

Results
**E above lowest polymorph**: 0 meV/atom
**Volume**: 24.4 Å³/atom
**Calculated total energy**: -9.2535 eV per atom
**E_form**: 0.62 eV per atom

Unit cell a=6.639 b=6.639 c=6.639 alpha=90.00 beta=90.00 gamma=90.00
Space group F-43m (No. 216)
Symmetry-distinct sites (fractional):
Gd1 0.000 0.000 0.000
Pu1 0.000 0.000 0.500
Mo1 0.250 0.250 0.250

=====

3.
Compound: GdReMo
Source: OQMD
Functional: PBE
Structure: relaxed

Results
**Volume**: 21.8 Å³/atom
**Calculated total energy**: -7.4118 eV per atom
**E_form**: 1.90 eV per atom

Unit cell a=6.396 b=6.396 c=6.396 alpha=90.00 beta=90.00 gamma=90.00
Space group F-43m (No. 216)
Symmetry-distinct sites (fractional):
Gd1 0.000 0.000 0.000
Re1 0.250 0.250 0.250
Mo1 0.250 0.250 0.750